GGA-PBE ZrPa3, relaxed; offset from the most stable computed form = 52 meV/atom; energy = -0.6728 Ry/atom; calculated density = 13.1 g/cm3; energy of formation from the pure elements = 0.4 eV per formula unit
1.0
4.635 0.000 0.000
0.000 4.635 0.000
0.000 0.000 4.635
Pa Zr
3 1
Cartesian
2.318 2.317 4.248 Pa
2.318 0.000 1.931 Pa
0.000 0.000 4.248 Pa
0.000 2.317 1.931 Zr

GGA-PBE BaTlVSb2, relaxed; formation energy from raw total energies = 1.1819 eV/atom; offset from the most stable computed form = 0 meV/atom; energy = -0.2314 Ry/atom; calculated density = 4.6 g/cm3
1.0
-0.025 5.985 -1.948
-4.391 -1.179 -3.566
-4.092 1.465 4.553
Sb Ba V Tl
2 1 1 1
Cartesian
-0.013 2.992 -0.974 Sb
-2.046 0.732 2.276 Sb
0.000 0.000 0.000 Ba
-2.195 -0.590 -1.783 V
-4.254 3.135 -0.481 Tl

GGA-PBE BPtW, relaxed; offset from the most stable computed form = 127 meV/atom; energy = -0.6425 Ry/atom; calculated density = 16.4 g/cm3; energy of formation from the pure elements = -0.6 eV per formula unit
1.0
5.385 0.000 0.009
0.000 2.895 0.000
-1.098 0.000 10.111
B Pt W
4 4 4
Cartesian
-0.232 0.000 3.008 B
-0.781 1.447 8.064 B
5.068 1.447 2.057 B
4.519 0.000 7.112 B
1.298 1.447 0.489 Pt
0.749 0.000 5.545 Pt
3.538 0.000 4.576 Pt
2.989 1.447 9.632 Pt
2.755 1.447 6.819 W
3.304 0.000 1.763 W
1.532 1.447 3.302 W
0.983 0.000 8.357 W

GGA-PBE TbPr12Y7, relaxed; offset from the most stable computed form = 53 meV/atom; energy = -0.3740 Ry/atom; calculated density = 5.7 g/cm3; energy of formation from the pure elements = 5.5 eV per formula unit
1.0
6.604 0.000 1.911
-3.730 9.524 4.645
-0.855 0.000 11.200
Pr Y Tb
12 7 1
Cartesian
2.476 5.166 9.810 Pr
-2.585 8.899 10.811 Pr
1.083 7.507 13.880 Pr
0.009 7.533 9.347 Pr
3.854 4.007 12.547 Pr
-0.457 4.357 7.946 Pr
-1.836 5.516 5.209 Pr
0.936 2.017 3.876 Pr
2.972 4.542 4.341 Pr
4.603 0.625 6.945 Pr
2.009 1.991 8.409 Pr
-0.953 4.982 13.415 Pr
0.640 2.867 11.508 Y
-2.974 8.194 7.511 Y
4.468 1.538 3.815 Y
3.302 0.000 0.955 Y
-2.450 7.986 13.941 Y
4.993 1.329 10.245 Y
1.379 6.656 6.248 Y
0.000 0.000 0.000 Tb

GGA-PBE AgSn6Au, relaxed; offset from the most stable computed form = 37 meV/atom; energy = -0.2740 Ry/atom; calculated density = 7.3 g/cm3; energy of formation from the pure elements = 0.3 eV per formula unit
1.0
-5.780 -5.753 -3.052
3.861 4.583 -6.317
5.774 -3.920 4.260
Sn Ag Au
12 2 2
Cartesian
-2.200 -4.073 -3.995 Sn
3.674 -4.516 1.343 Sn
3.162 -1.241 -0.493 Sn
0.693 -3.849 -4.615 Sn
3.080 -4.878 -1.554 Sn
4.244 1.414 -4.469 Sn
0.181 -0.573 -6.452 Sn
-0.210 -3.531 -1.047 Sn
-0.389 -6.503 -0.639 Sn
6.055 -1.017 -1.114 Sn
4.065 -1.559 -4.061 Sn
0.775 -0.212 -3.554 Sn
-2.890 -2.876 -1.526 Ag
1.930 2.292 -3.159 Ag
2.887 -1.960 2.130 Au
1.927 -2.545 -2.554 Au

GGA-PBE NaPm2Pt, relaxed; offset from the most stable computed form = 28 meV/atom; energy = -0.3439 Ry/atom; calculated density = 6.9 g/cm3; energy of formation from the pure elements = -1.9 eV per formula unit
1.0
-0.672 -2.795 2.131
2.563 1.095 2.244
-6.412 5.191 4.789
Na Pm Pt
1 2 1
Cartesian
-2.260 1.745 4.582 Na
-5.272 4.268 3.938 Pm
-1.139 0.922 0.851 Pm
0.946 -0.850 2.188 Pt

GGA-PBE Zn2CuPd, relaxed; energy = -0.2197 Ry/atom; calculated density = 8.1 g/cm3; energy of formation from the pure elements = -0.1 eV per formula unit
1.0
-3.609 0.677 0.615
-0.771 -0.910 -3.527
-3.360 -8.568 0.980
Cu Zn Pd
2 4 2
Cartesian
-2.190 -0.117 -1.456 Cu
-3.161 -4.797 -2.002 Cu
-3.178 -1.835 0.186 Zn
-6.350 -6.626 -1.799 Zn
-1.788 -2.623 -1.880 Zn
-4.166 -6.517 -0.371 Zn
-4.580 -4.004 0.069 Pd
0.000 0.000 0.000 Pd

GGA-PBE DyHo8Er4, relaxed; energy = -0.3199 Ry/atom; calculated density = 8.8 g/cm3; energy of formation from the pure elements = 2.9 eV per formula unit
1.0
6.334 0.000 -3.417
-4.089 5.923 0.000
1.210 0.836 9.821
Ho Er Dy
8 4 1
Cartesian
-2.589 5.005 2.780 Ho
3.782 5.030 3.623 Ho
2.637 1.821 4.887 Ho
2.503 1.728 1.253 Ho
0.818 4.938 1.516 Ho
-0.327 1.728 2.780 Ho
0.952 5.030 5.150 Ho
6.044 1.753 3.623 Ho
1.123 2.961 -1.709 Er
-2.044 2.961 0.000 Er
0.000 0.000 0.000 Er
3.167 0.000 -1.709 Er
-1.439 3.379 4.910 Dy

GGA-PBE LiNi2Ru, relaxed; offset from the most stable computed form = 108 meV/atom; energy = -0.4077 Ry/atom; calculated density = 7.6 g/cm3; energy of formation from the pure elements = 0.6 eV per formula unit
1.0
-0.311 -1.221 2.214
-1.365 -1.797 -1.183
6.338 -3.961 -1.294
Ru Ni Li
1 2 1
Cartesian
3.044 -1.903 -0.622 Ru
0.688 -2.463 0.204 Ni
0.101 -0.063 -0.021 Ni
3.998 -4.532 -0.472 Li

GGA-PBE ScHg2WSe, relaxed; formation energy from raw total energies = 0.8843 eV/atom; energy = -0.2786 Ry/atom; calculated density = 8.4 g/cm3
1.0
5.300 0.000 0.000
0.000 4.999 0.000
0.000 0.000 5.300
W Hg Sc Se
1 2 1 1
Cartesian
0.000 0.000 0.000 W
0.000 0.000 2.650 Hg
2.650 0.000 0.000 Hg
0.000 2.500 0.000 Sc
2.650 2.500 2.650 Se

GGA-PBE LiPmGdGe, relaxed; energy = -0.4968 Ry/atom; calculated density = 6.7 g/cm3; energy of formation from the pure elements = -1.7 eV per formula unit
1.0
5.114 0.000 0.000
2.557 4.429 0.000
2.557 1.476 4.176
Li Gd Ge Pm
1 1 1 1
Cartesian
5.114 2.953 2.088 Li
7.672 4.429 3.132 Gd
0.000 0.000 0.000 Ge
2.557 1.476 1.044 Pm

GGA-PBE CrRhI2, relaxed; formation energy from raw total energies = 0.3598 eV/atom; offset from the most stable computed form = 0 meV/atom; energy = -0.3424 Ry/atom; calculated density = 5.7 g/cm3
1.0
-4.762 3.773 0.560
0.425 -0.366 6.076
1.823 6.737 3.342
Cr I Rh
2 4 2
Cartesian
-2.168 1.704 3.318 Cr
0.040 4.037 6.368 Cr
-0.262 6.333 4.950 I
-2.503 4.025 1.950 I
0.162 1.899 4.699 I
-2.425 8.031 8.359 I
0.000 0.000 0.000 Rh
-2.554 6.107 3.610 Rh

GGA-PBE LaDy5Hg6, relaxed; energy = -0.2171 Ry/atom; calculated density = 11.3 g/cm3; energy of formation from the pure elements = -5.7 eV per formula unit
1.0
-5.076 -1.337 0.527
1.943 -5.474 4.822
1.826 5.776 5.821
Dy Hg La
5 6 1
Cartesian
-2.774 1.057 2.317 Dy
0.485 0.703 6.511 Dy
-1.792 -1.737 4.660 Dy
0.971 -2.737 2.411 Dy
-0.476 3.382 4.031 Dy
1.202 -2.295 5.665 Hg
0.267 0.341 3.343 Hg
-2.509 1.260 5.506 Hg
0.726 1.058 9.653 Hg
-1.574 -1.375 7.828 Hg
-2.033 -2.092 1.518 Hg
0.000 0.000 0.000 La

GGA-PBE AcTbO2, relaxed; formation energy from raw total energies = -2.7408 eV/atom; offset from the most stable computed form = 0 meV/atom; energy = -0.5442 Ry/atom; calculated density = 10.1 g/cm3
1.0
3.585 0.000 0.000
1.792 3.104 0.000
1.792 1.035 6.156
Tb O Ac
1 2 1
Cartesian
0.000 0.000 0.000 Tb
5.377 3.104 4.994 O
1.792 1.035 1.161 O
3.585 2.070 3.078 Ac